This record from Alexandria describes an optimized crystal structure of SnPt3C. The functional is GGA-PBE.

The structure in POSCAR format:
```
SnPt3C
1.0
-0.521 3.912 -1.698
-3.032 -1.543 -2.624
-2.999 0.880 2.948
Pt Sn C
3 1 1
Cartesian
-1.516 -0.772 -1.312
-1.500 0.440 1.474
-0.261 1.956 -0.849
-3.276 1.625 -0.687
0.000 0.000 0.000
```

Results
Space-group type = Pm-3m, No. 221
E above lowest polymorph = 0.000 eV/atom

This record from Alexandria describes an optimized crystal structure of Sn2PtC. The functional is GGA-PBE.

The structure in POSCAR format:
```
Sn2PtC
1.0
6.020 0.000 0.000
0.000 6.020 0.000
3.010 3.010 4.486
C Pt Sn
2 2 4
Cartesian
3.010 3.010 0.000
3.010 6.020 2.243
6.020 3.010 2.243
0.000 0.000 0.000
4.515 4.871 3.365
7.525 7.168 3.365
4.158 1.505 1.122
1.861 4.515 1.122
```

Results
E_tot = -5.403 eV per atom
Space-group type = I-42d, No. 122

This record from Alexandria describes an optimized crystal structure of ZrSnPt2C. The functional is GGA-PBE.

The structure in POSCAR format:
```
ZrSnPt2C
1.0
-3.493 -3.466 -0.066
3.779 -3.818 0.474
-0.352 0.260 4.902
Pt Sn C Zr
2 1 1 1
Cartesian
-0.176 0.130 2.451
-1.747 -1.733 -0.033
0.000 0.000 0.000
-0.033 -3.512 2.655
1.890 -1.909 0.237
```

Results
E_tot = -4.698 eV per atom
Space-group type = P4/mmm, No. 123

This record from Alexandria describes an optimized crystal structure of SrPtC2. The functional is GGA-PBE.

The structure in POSCAR format:
```
SrPtC2
1.0
-1.208 -3.487 3.788
5.149 -0.770 0.933
1.909 1.660 5.828
Sr Pt C
2 2 4
Cartesian
1.970 -2.129 2.360
4.514 -0.619 4.561
1.336 -1.978 5.988
0.000 0.000 0.000
2.340 -0.267 6.038
5.449 -2.566 8.605
3.678 -0.117 2.095
0.232 -2.247 4.360
```

Results
E_tot = -5.723 eV per atom
Space-group type = I-42d, No. 122

This record from Alexandria describes an optimized crystal structure of SrPt2C. The functional is GGA-PBE.

The structure in POSCAR format:
```
SrPt2C
1.0
5.276 0.000 0.000
0.000 5.276 0.000
2.638 2.638 6.237
Pt C Sr
4 2 2
Cartesian
2.638 3.957 1.559
3.957 5.276 4.678
2.639 1.319 1.559
6.596 5.277 4.678
2.638 2.638 0.000
2.638 5.276 3.119
0.000 0.000 0.000
5.276 2.638 3.119
```

Results
E_tot = -5.921 eV per atom
Space-group type = I4_1/amd, No. 141

This record from Alexandria describes an optimized crystal structure of SrPtC. The functional is GGA-PBE.

The structure in POSCAR format:
```
SrPtC
1.0
-0.824 0.717 -3.455
4.972 -2.597 -1.724
-3.363 -4.615 1.745
Sr Pt C
2 2 2
Cartesian
0.700 -1.694 -0.518
0.085 -4.802 -2.916
2.654 -3.055 -3.167
-1.869 -3.441 -0.268
-1.549 -2.732 -2.097
2.334 -3.763 -1.337
```

Results
E_tot = -5.574 eV per atom
Space-group type = C2/m, No. 12

Q: Which formula does entry 5 have?
A: SrPt2C

Q: Number 3 is which compound?
A: ZrSnPt2C

Please write out number 2 again, unchanged.
This record from Alexandria describes an optimized crystal structure of Sn2PtC. The functional is GGA-PBE.

The structure in POSCAR format:
```
Sn2PtC
1.0
6.020 0.000 0.000
0.000 6.020 0.000
3.010 3.010 4.486
C Pt Sn
2 2 4
Cartesian
3.010 3.010 0.000
3.010 6.020 2.243
6.020 3.010 2.243
0.000 0.000 0.000
4.515 4.871 3.365
7.525 7.168 3.365
4.158 1.505 1.122
1.861 4.515 1.122
```

Results
E_tot = -5.403 eV per atom
Space-group type = I-42d, No. 122